Material: LiAgW3
Method: DFT, PBE
State: relaxed

a = 4.837 Å, b = 4.837 Å, c = 4.837 Å
α = 90.00°, β = 90.00°, γ = 90.00°
Positions (direct):
Ag: 0.000 0.000 0.000
W: 0.000 0.500 0.000
W: 0.000 0.000 0.500
W: 0.500 0.000 0.000
Li: 0.500 0.500 0.500

Properties
Final energy: -29.4 eV/cell
Total magnetization: 0.0 μB per cell
Formation energy from the elements: 2.852 eV per atom
Offset from the most stable computed form: 1312 meV per atom



Material: ErTm2Sc
Method: DFT, PBE
State: relaxed

a = 3.447 Å, b = 3.447 Å, c = 11.338 Å
α = 81.26°, β = 81.26°, γ = 60.00°
Positions (direct):
Sc: 0.000 0.000 0.000
Tm: 0.747 0.747 0.758
Tm: 0.253 0.253 0.242
Er: 0.500 0.500 0.500

Properties
Final energy: -19.7 eV/cell
Total magnetization: 0.0 μB per cell
Formation energy from the elements: 0.046 eV per atom
Offset from the most stable computed form: 21 meV per atom



Material: CeNbC
Method: DFT, PBE
State: relaxed

a = 3.255 Å, b = 3.255 Å, c = 5.807 Å
α = 90.00°, β = 90.00°, γ = 120.00°
Positions (direct):
Nb: 0.667 0.333 0.446
C: 0.333 0.667 0.632
Ce: 0.000 0.000 0.921

Properties
Final energy: -25.7 eV/cell
Total magnetization: 0.9 μB per cell
Formation energy from the elements: -0.171 eV per atom
Offset from the most stable computed form: 0 meV per atom



Material: AlNiAu3
Method: DFT, PBE
State: relaxed

a = 4.776 Å, b = 4.776 Å, c = 4.776 Å
α = 90.00°, β = 90.00°, γ = 90.00°
Positions (direct):
Ni: 0.000 0.000 0.000
Au: 0.000 0.500 0.000
Au: 0.000 0.000 0.500
Au: 0.500 0.000 0.000
Al: 0.500 0.500 0.500

Properties
Final energy: -16.3 eV/cell
Total magnetization: 0.0 μB per cell
Formation energy from the elements: 0.608 eV per atom
Offset from the most stable computed form: 0 meV per atom



Material: In2PW
Method: DFT, PBE
State: relaxed

a = 7.763 Å, b = 7.763 Å, c = 3.922 Å
α = 75.37°, β = 75.37°, γ = 22.21°
Positions (direct):
In: 0.071 0.071 0.929
In: 0.429 0.429 0.571
P: 0.250 0.250 0.250
W: 0.750 0.750 0.750

Properties
Final energy: -22.7 eV/cell
Total magnetization: 0.3 μB per cell
Formation energy from the elements: 0.284 eV per atom



Material: PmAl6Ir
Method: DFT, PBE
State: relaxed

a = 4.222 Å, b = 4.222 Å, c = 8.605 Å
α = 90.00°, β = 90.00°, γ = 90.00°
Positions (direct):
Pm: 0.000 0.000 0.000
Al: 0.500 0.000 0.664
Al: 0.000 0.500 0.664
Al: 0.500 0.500 0.144
Al: 0.500 0.500 0.856
Al: 0.000 0.500 0.336
Al: 0.500 0.000 0.336
Ir: 0.000 0.000 0.500

Properties
Final energy: -40.2 eV/cell
Total magnetization: 0.0 μB per cell
Formation energy from the elements: -0.511 eV per atom
Offset from the most stable computed form: 0 meV per atom



Material: Rb6SrI8
Method: DFT, PBE
State: relaxed

a = 9.662 Å, b = 9.662 Å, c = 9.662 Å
α = 68.84°, β = 68.84°, γ = 68.84°
Positions (direct):
Rb: 0.061 0.483 0.694
Rb: 0.306 0.939 0.517
Rb: 0.517 0.306 0.939
Rb: 0.483 0.694 0.061
Rb: 0.694 0.061 0.483
Rb: 0.939 0.517 0.306
Sr: 0.000 0.000 0.000
I: 0.168 0.671 0.903
I: 0.097 0.832 0.329
I: 0.329 0.097 0.832
I: 0.659 0.659 0.659
I: 0.341 0.341 0.341
I: 0.671 0.903 0.168
I: 0.903 0.168 0.671
I: 0.832 0.329 0.097

Properties
Final energy: -42.7 eV/cell
Total magnetization: 0.0 μB per cell
E_form (uncorrected): -1518 meV/atom



Material: LaZn4Ag4
Method: DFT, PBE
State: relaxed

a = 4.709 Å, b = 8.710 Å, c = 8.710 Å
α = 90.00°, β = 90.00°, γ = 90.00°
Positions (direct):
La: 0.000 0.000 0.000
La: 0.500 0.500 0.500
Zn: 0.500 0.875 0.228
Zn: 0.500 0.125 0.772
Zn: 0.000 0.728 0.625
Zn: 0.000 0.375 0.728
Zn: 0.000 0.625 0.272
Zn: 0.500 0.228 0.125
Zn: 0.500 0.772 0.875
Zn: 0.000 0.272 0.375
Ag: 0.500 0.406 0.872
Ag: 0.000 0.628 0.906
Ag: 0.500 0.594 0.128
Ag: 0.000 0.094 0.628
Ag: 0.500 0.872 0.594
Ag: 0.000 0.906 0.372
Ag: 0.000 0.372 0.094
Ag: 0.500 0.128 0.406

Properties
Final energy: -44.1 eV/cell
Total magnetization: 0.0 μB per cell
Formation energy from the elements: -0.070 eV per atom